Record 1
This record from Alexandria describes an optimized crystal structure of SrLa2ZnOs. The functional is PBE-GGA.

Properties
electronic total energy	-23.99	eV for the cell shown
space-group type	No. 123

Cell lengths 5.554, 5.554, 5.223 Å; angles 90.00, 90.00, 90.00 degrees
Sites, in units of the cell vectors:
Sr: 0.000 0.000 0.000
La: 0.000 0.500 0.500
La: 0.500 0.000 0.500
Zn: 0.500 0.500 0.000
Os: 0.500 0.500 0.500

Record 2
This record from Alexandria describes an optimized crystal structure of SrLaZnOs2. The functional is PBE-GGA.

Properties
electronic total energy	-18.37	eV for the cell shown
space-group type	No. 123

Cell lengths 4.965, 4.965, 5.422 Å; angles 90.00, 90.00, 90.00 degrees
Sites, in units of the cell vectors:
Sr: 0.000 0.000 0.000
La: 0.000 0.000 0.500
Zn: 0.500 0.500 0.500
Os: 0.000 0.500 0.000
Os: 0.500 0.000 0.000

Record 3
This record from Alexandria describes an optimized crystal structure of SrLaZrOs2. The functional is PBE-GGA.

Properties
electronic total energy	-28.94	eV for the cell shown
space-group type	No. 123

Cell lengths 4.920, 4.920, 5.296 Å; angles 90.00, 90.00, 90.00 degrees
Sites, in units of the cell vectors:
Sr: 0.000 0.000 0.000
La: 0.000 0.000 0.500
Zr: 0.500 0.500 0.000
Os: 0.000 0.500 0.500
Os: 0.500 0.000 0.500

Record 4
This record from Alexandria describes an optimized crystal structure of La2TaOs. The functional is PBE-GGA.

Properties
electronic total energy	-30.55	eV for the cell shown
space-group type	No. 65

Cell lengths 5.636, 5.636, 3.304 Å; angles 90.00, 90.00, 119.42 degrees
Sites, in units of the cell vectors:
La: 0.000 0.500 0.000
La: 0.500 0.000 0.000
Ta: 0.000 0.000 0.500
Os: 0.500 0.500 0.500

| no. | ΔE_f (kJ per mole of atoms) |
| --- | --- |
| 1 | 1 |
| 2 | 231 |
| 3 | 167 |
| 4 | 58 |